(1)
HoThPdPt | the Alexandria database | PBE | relaxed; volume = 90.9 Å³ per cell; DOS at the Fermi energy = 3.31 states/eV/f.u.; DFT formation energy = -368 kJ/mol of formula units; ΔE to the lowest computed polymorph = 0.130 eV per atom; spin magnetization = 0.0 Bohr magnetons per cell
1.0
0.000 3.569 3.569
3.569 0.000 3.569
3.569 3.569 0.000
Ho Th Pd Pt
1 1 1 1
direct
0.000 0.000 0.000
0.500 0.500 0.500
0.750 0.750 0.750
0.250 0.250 0.250


(2)
CoTcAg2 | the Alexandria database | PBE | relaxed; volume = 61.2 Å³ per cell; DOS at the Fermi energy = 3.78 states/eV/f.u.; DFT formation energy = 197 kJ/mol of formula units; ΔE to the lowest computed polymorph = 0.247 eV per atom; spin magnetization = 1.0 Bohr magnetons per cell
1.0
4.466 -1.336 0.000
4.466 1.336 0.000
-0.745 0.000 5.126
Co Tc Ag
1 1 2
direct
0.000 0.000 0.000
0.261 0.261 0.832
0.504 0.504 0.540
0.747 0.747 0.299


(3)
Pr3Ho2Er6Sc | the Alexandria database | PBE | relaxed; volume = 377.0 Å³ per cell; DOS at the Fermi energy = 16.92 states/eV/f.u.; DFT formation energy = 40 kJ/mol of formula units; spin magnetization = 0.0 Bohr magnetons per cell
1.0
3.074 -5.322 0.000
3.074 5.322 0.000
-2.047 0.000 11.523
Pr Ho Er Sc
3 2 6 1
direct
0.000 0.000 0.000
0.334 0.666 0.000
0.666 0.334 0.000
0.166 0.834 0.500
0.834 0.166 0.500
0.089 0.420 0.257
0.249 0.249 0.743
0.420 0.089 0.257
0.580 0.911 0.743
0.751 0.751 0.257
0.911 0.580 0.743
0.500 0.500 0.500


(4)
CsUFeS3 | the Alexandria database | PBE | relaxed; volume = 321.1 Å³ per cell; DOS at the Fermi energy = 5.82 states/eV/f.u.; E_form (uncorrected) = -1.11 eV/atom; spin magnetization = 7.2 Bohr magnetons per cell
1.0
9.466 0.000 0.000
0.000 3.883 0.000
-4.030 0.000 8.737
Cs U Fe S
2 2 2 6
direct
0.212 0.250 0.245
0.788 0.750 0.755
0.319 0.750 0.838
0.681 0.250 0.162
0.084 0.250 0.587
0.916 0.750 0.413
0.130 0.250 0.847
0.174 0.750 0.534
0.472 0.750 0.151
0.528 0.250 0.849
0.826 0.250 0.466
0.870 0.750 0.153


(5)
Ba3Ga8Pt3 | the Alexandria database | PBE | relaxed; volume = 309.2 Å³ per cell; DOS at the Fermi energy = 4.43 states/eV/f.u.; DFT formation energy = -761 kJ/mol of formula units; ΔE to the lowest computed polymorph = 0.023 eV per atom; spin magnetization = 0.0 Bohr magnetons per cell
1.0
8.388 -2.343 0.000
8.388 2.343 0.000
-4.898 0.000 7.867
Ba Ga Pt
3 8 3
direct
0.000 0.000 0.000
0.290 0.290 0.310
0.710 0.710 0.690
0.126 0.126 0.415
0.154 0.154 0.867
0.349 0.349 0.722
0.490 0.490 0.318
0.510 0.510 0.682
0.651 0.651 0.278
0.846 0.846 0.133
0.874 0.874 0.585
0.000 0.000 0.500
0.346 0.346 0.002
0.654 0.654 0.998


(6)
HoMg2Ru | the Alexandria database | PBE | relaxed; volume = 681.5 Å³ per cell; DOS at the Fermi energy = 2.48 states/eV/f.u.; DFT formation energy = -73 kJ/mol of formula units; spin magnetization = 0.0 Bohr magnetons per cell
1.0
15.308 0.000 0.000
0.000 8.375 0.000
0.000 0.000 5.315
Ho Mg Ru
8 16 8
direct
0.109 0.250 0.250
0.139 0.750 0.057
0.361 0.250 0.557
0.391 0.750 0.750
0.609 0.250 0.250
0.639 0.750 0.443
0.861 0.250 0.943
0.891 0.750 0.750
0.040 0.058 0.736
0.040 0.442 0.736
0.211 0.557 0.548
0.211 0.943 0.548
0.289 0.057 0.048
0.289 0.443 0.048
0.460 0.558 0.236
0.460 0.942 0.236
0.540 0.058 0.764
0.540 0.442 0.764
0.711 0.557 0.952
0.711 0.943 0.952
0.789 0.057 0.452
0.789 0.443 0.452
0.960 0.558 0.264
0.960 0.942 0.264
0.064 0.750 0.562
0.187 0.250 0.750
0.313 0.750 0.250
0.436 0.250 0.062
0.564 0.750 0.938
0.687 0.250 0.750
0.813 0.750 0.250
0.936 0.250 0.438


(7)
La6CoCu2I3 | the Alexandria database | PBE | relaxed; volume = 386.3 Å³ per cell; DOS at the Fermi energy = 12.44 states/eV/f.u.; E_form (uncorrected) = -0.61 eV/atom; spin magnetization = 0.0 Bohr magnetons per cell
1.0
3.753 -6.337 0.000
3.753 6.337 0.000
-2.475 0.000 8.122
La Co Cu I
6 1 2 3
direct
0.061 0.372 0.187
0.251 0.251 0.805
0.372 0.061 0.187
0.628 0.939 0.813
0.749 0.749 0.195
0.939 0.628 0.813
0.000 0.000 0.000
0.336 0.664 0.000
0.664 0.336 0.000
0.171 0.829 0.500
0.500 0.500 0.500
0.829 0.171 0.500


(8)
In2ReSb | the Alexandria database | PBE | relaxed; volume = 99.5 Å³ per cell; DOS at the Fermi energy = 3.27 states/eV/f.u.; E_form (uncorrected) = 0.40 eV/atom; spin magnetization = 0.0 Bohr magnetons per cell
1.0
5.079 -1.564 0.000
5.079 1.564 0.000
-2.680 0.000 6.263
In Re Sb
2 1 1
direct
0.000 0.000 0.000
0.171 0.171 0.658
0.739 0.739 0.030
0.336 0.336 0.376


(9)
K4Na4In | the Alexandria database | PBE | relaxed; volume = 497.2 Å³ per cell; DOS at the Fermi energy = 5.28 states/eV/f.u.; DFT formation energy = 67 kJ/mol of formula units; spin magnetization = 0.0 Bohr magnetons per cell
1.0
-3.967 3.967 7.900
3.967 -3.967 7.900
3.967 3.967 -7.900
K Na In
4 4 1
direct
0.137 0.137 0.540
0.403 0.863 0.000
0.597 0.597 0.460
0.863 0.403 0.000
0.111 0.657 0.000
0.343 0.343 0.454
0.657 0.111 0.000
0.889 0.889 0.546
0.000 0.000 0.000


(10)
Pr4Sn5Bi | the Alexandria database | PBE | relaxed; volume = 617.7 Å³ per cell; DOS at the Fermi energy = 7.12 states/eV/f.u.; DFT formation energy = -606 kJ/mol of formula units; spin magnetization = 0.0 Bohr magnetons per cell
1.0
11.356 0.000 0.000
0.000 12.024 0.000
0.000 0.000 4.524
Pr Sn Bi
8 10 2
direct
0.025 0.250 0.249
0.250 0.568 0.250
0.250 0.932 0.250
0.475 0.250 0.249
0.525 0.750 0.751
0.750 0.068 0.750
0.750 0.432 0.750
0.975 0.750 0.751
0.066 0.047 0.750
0.066 0.453 0.750
0.250 0.750 0.750
0.434 0.047 0.750
0.434 0.453 0.750
0.566 0.547 0.250
0.566 0.953 0.250
0.750 0.250 0.250
0.934 0.547 0.250
0.934 0.953 0.250
0.250 0.250 0.748
0.750 0.750 0.252


(11)
LiNd2AuO6 | the Alexandria database | PBE | relaxed; volume = 253.5 Å³ per cell; DOS at the Fermi energy = 0.00 states/eV/f.u.; E_form (uncorrected) = -2.02 eV/atom; spin magnetization = 0.0 Bohr magnetons per cell
1.0
5.501 0.000 0.000
0.000 5.875 0.000
-5.426 0.000 7.845
Li Nd Au O
2 4 2 12
direct
0.000 0.000 0.000
0.000 0.500 0.500
0.230 0.072 0.749
0.230 0.428 0.249
0.770 0.572 0.751
0.770 0.928 0.251
0.500 0.000 0.500
0.500 0.500 0.000
0.149 0.191 0.450
0.149 0.309 0.950
0.259 0.707 0.446
0.259 0.793 0.946
0.355 0.034 0.252
0.355 0.466 0.752
0.645 0.534 0.248
0.645 0.966 0.748
0.741 0.207 0.054
0.741 0.293 0.554
0.851 0.691 0.050
0.851 0.809 0.550


(12)
Sc2Zn2Os | the Alexandria database | PBE | relaxed; volume = 191.2 Å³ per cell; DOS at the Fermi energy = 2.78 states/eV/f.u.; DFT formation energy = 91 kJ/mol of formula units; ΔE to the lowest computed polymorph = 0.335 eV per atom; spin magnetization = 0.7 Bohr magnetons per cell
1.0
6.922 0.000 0.000
0.000 6.922 0.000
0.000 0.000 3.990
Sc Zn Os
4 4 2
direct
0.161 0.339 0.000
0.339 0.839 0.000
0.661 0.161 0.000
0.839 0.661 0.000
0.140 0.640 0.500
0.360 0.140 0.500
0.640 0.860 0.500
0.860 0.360 0.500
0.000 0.000 0.000
0.500 0.500 0.000


Record order is preserved below.
Electronic total energy: -6.76, -5.28, -4.73, -6.60, -4.00, -4.45, -4.74, -5.11, -1.30, -4.93, -6.47, -5.10 eV/atom